No. 1
Material: NaNpMn4S8
Method: DFT, PBE
State: relaxed

Summary:
DFT total energy = -6.73 eV/atom
Fermi-level density of states = 8.87 states/eV/f.u.
Uncorrected formation energy = -0.734 eV per atom

a = 7.5634 Å, b = 7.5634 Å, c = 7.5634 Å
α = 58.61°, β = 58.61°, γ = 58.61°
Last column: nearest neighbours and their distance in Å.
Atoms (fractional coordinates):
Na 0.0000 0.0000 0.0000  4 S 2.55-2.59
Np 0.3654 0.3654 0.3654  6 S 2.62-2.69
Mn 0.3639 0.3639 0.8755  6 S 2.42-2.58
Mn 0.3639 0.8755 0.3639  6 S 2.42-2.58
Mn 0.7365 0.7365 0.7365  4 S 2.42-2.47
Mn 0.8755 0.3639 0.3639  6 S 2.42-2.58
S 0.1201 0.1201 0.5767  2 Mn 2.42, 1 Na 2.59, 1 Np 2.62
S 0.1201 0.5767 0.1201  2 Mn 2.42, 1 Na 2.59, 1 Np 2.62
S 0.1338 0.6187 0.6187  3 Mn 2.42-2.58, 1 Np 2.69
S 0.1361 0.1361 0.1361  3 Mn 2.42, 1 Na 2.55
S 0.5767 0.1201 0.1201  2 Mn 2.42, 1 Na 2.59, 1 Np 2.62
S 0.6045 0.6045 0.6045  4 Mn 2.47-2.55
S 0.6187 0.1338 0.6187  3 Mn 2.42-2.58, 1 Np 2.69
S 0.6187 0.6187 0.1338  3 Mn 2.42-2.58, 1 Np 2.69

=====

No. 2
Material: Na3NpMn2S6
Method: DFT, PBE
State: relaxed

Summary:
DFT total energy = -6.02 eV/atom
Fermi-level density of states = 7.44 states/eV/f.u.
Uncorrected formation energy = -1.024 eV per atom

a = 6.5188 Å, b = 6.5188 Å, c = 6.9910 Å
α = 98.95°, β = 98.95°, γ = 119.97°
Last column: nearest neighbours and their distance in Å.
Atoms (fractional coordinates):
Na 0.0000 0.0000 0.0000  6 S 2.83-2.91
Na 0.3348 0.6652 0.0000  6 S 2.84-2.91
Na 0.6652 0.3348 0.0000  6 S 2.84-2.91
Np 0.5000 0.5000 0.5000  6 S 2.66
Mn 0.1672 0.8328 0.5000  6 S 2.57
Mn 0.8328 0.1672 0.5000  6 S 2.57
S 0.0843 0.4286 0.2852  2 Mn 2.57, 1 Np 2.66, 1 Na 2.84
S 0.2271 0.2271 0.7141  2 Mn 2.57, 1 Np 2.66, 1 Na 2.83
S 0.4286 0.0843 0.2852  2 Mn 2.57, 1 Np 2.66, 1 Na 2.84
S 0.5714 0.9157 0.7148  2 Mn 2.57, 1 Np 2.66, 1 Na 2.84
S 0.7729 0.7729 0.2859  2 Mn 2.57, 1 Np 2.66, 1 Na 2.83
S 0.9157 0.5714 0.7148  2 Mn 2.57, 1 Np 2.66, 1 Na 2.84

=====

No. 3
Material: Na2NpMn2S6
Method: DFT, PBE
State: relaxed

Summary:
DFT total energy = -6.30 eV/atom
Fermi-level density of states = 6.37 states/eV/f.u.
Uncorrected formation energy = -0.965 eV per atom

a = 6.3164 Å, b = 6.3164 Å, c = 7.1764 Å
α = 99.15°, β = 99.15°, γ = 118.60°
Last column: nearest neighbours and their distance in Å.
Atoms (fractional coordinates):
Na 0.1640 0.8360 0.0000  6 S 2.83-2.96
Na 0.8360 0.1640 0.0000  6 S 2.83-2.96
Np 0.0000 0.0000 0.5000  6 S 2.62-2.67
Mn 0.3322 0.6678 0.5000  6 S 2.43-2.63
Mn 0.6678 0.3322 0.5000  6 S 2.43-2.63
S 0.0542 0.4099 0.7108  2 Mn 2.43-2.63, 1 Np 2.62
S 0.2868 0.2868 0.2996  2 Mn 2.46, 1 Np 2.67
S 0.4099 0.0542 0.7108  2 Mn 2.43-2.63, 1 Np 2.62
S 0.5901 0.9458 0.2892  2 Mn 2.43-2.63, 1 Np 2.62
S 0.7132 0.7132 0.7004  2 Mn 2.46, 1 Np 2.67
S 0.9458 0.5901 0.2892  2 Mn 2.43-2.63, 1 Np 2.62

=====

No. 4
Material: Na2NpMnS4
Method: DFT, PBE
State: relaxed

Summary:
DFT total energy = -6.26 eV/atom
Fermi-level density of states = 9.78 states/eV/f.u.
Uncorrected formation energy = -1.106 eV per atom

a = 6.5854 Å, b = 3.9024 Å, c = 7.0140 Å
α = 90.00°, β = 108.62°, γ = 90.00°
Last column: nearest neighbours and their distance in Å.
Atoms (fractional coordinates):
Na 0.0000 0.0000 0.0000  6 S 2.90-2.96
Na 0.5000 0.5000 0.0000  6 S 2.87-2.88
Np 0.0000 0.5000 0.5000  6 S 2.67-2.71
Mn 0.5000 0.0000 0.5000  6 S 2.62-2.63
S 0.2486 0.0000 0.7247  1 Mn 2.63, 2 Np 2.71, 3 Na 2.87-2.90
S 0.2707 0.5000 0.2871  2 Mn 2.62, 1 Np 2.67, 1 Na 2.88
S 0.7293 0.5000 0.7129  2 Mn 2.62, 1 Np 2.67, 1 Na 2.88
S 0.7514 0.0000 0.2753  1 Mn 2.63, 2 Np 2.71, 3 Na 2.87-2.90

=====

No. 5
Material: NaNpMnSe3
Method: DFT, PBE
State: relaxed

Summary:
DFT total energy = -6.55 eV/atom
Fermi-level density of states = 11.06 states/eV/f.u.
Uncorrected formation energy = -0.900 eV per atom

a = 8.4117 Å, b = 4.1519 Å, c = 9.4153 Å
α = 90.00°, β = 102.52°, γ = 90.00°
Last column: nearest neighbours and their distance in Å.
Atoms (fractional coordinates):
Na 0.1850 0.2500 0.2080  5 Se 3.05-3.22
Na 0.8150 0.7500 0.7920  5 Se 3.05-3.22
Np 0.3315 0.7500 0.8438  6 Se 2.88-2.91
Np 0.6685 0.2500 0.1562  6 Se 2.88-2.91
Mn 0.0818 0.2500 0.5912  4 Se 2.48-2.55
Mn 0.9182 0.7500 0.4088  4 Se 2.48-2.55
Se 0.0958 0.2500 0.8573  1 Mn 2.48
Se 0.2202 0.7500 0.5285  3 Mn 2.51-2.55
Se 0.4320 0.7500 0.1573  3 Np 2.88-2.89, 2 Na 3.05
Se 0.5680 0.2500 0.8427  3 Np 2.88-2.89, 2 Na 3.05
Se 0.7798 0.2500 0.4715  3 Mn 2.51-2.55
Se 0.9042 0.7500 0.1427  1 Mn 2.48

=====

No. 6
Material: Na3Np2MnSe6
Method: DFT, PBE
State: relaxed

Summary:
DFT total energy = -6.05 eV/atom
Fermi-level density of states = 19.62 states/eV/f.u.
Uncorrected formation energy = -1.057 eV per atom

a = 7.0720 Å, b = 7.0720 Å, c = 7.3762 Å
α = 99.19°, β = 99.19°, γ = 120.00°
Last column: nearest neighbours and their distance in Å.
Atoms (fractional coordinates):
Na 0.0000 0.0000 0.0000  6 Se 3.02-3.07
Na 0.3329 0.6671 0.0000  6 Se 3.02-3.07
Na 0.6671 0.3329 0.0000  6 Se 3.02-3.07
Np 0.1666 0.8334 0.5000  6 Se 2.85
Np 0.8334 0.1666 0.5000  6 Se 2.85
Mn 0.5000 0.5000 0.5000  6 Se 2.80
Se 0.0980 0.4249 0.2746  1 Mn 2.80, 2 Np 2.85, 3 Na 3.02-3.07
Se 0.2481 0.2481 0.7257  1 Mn 2.80, 2 Np 2.85, 3 Na 3.02-3.07
Se 0.4249 0.0980 0.2746  1 Mn 2.80, 2 Np 2.85, 3 Na 3.02-3.07
Se 0.5751 0.9020 0.7254  1 Mn 2.80, 2 Np 2.85, 3 Na 3.02-3.07
Se 0.7519 0.7519 0.2743  1 Mn 2.80, 2 Np 2.85, 3 Na 3.02-3.07
Se 0.9020 0.5751 0.7254  1 Mn 2.80, 2 Np 2.85, 3 Na 3.02-3.07

=====

No. 7
Material: Na2NpMnSe4
Method: DFT, PBE
State: relaxed

Summary:
DFT total energy = -5.81 eV/atom
Fermi-level density of states = 10.66 states/eV/f.u.
Uncorrected formation energy = -0.976 eV per atom

a = 6.9175 Å, b = 4.0676 Å, c = 7.3543 Å
α = 90.00°, β = 108.71°, γ = 90.00°
Last column: nearest neighbours and their distance in Å.
Atoms (fractional coordinates):
Na 0.0000 0.0000 0.0000  6 Se 3.03-3.10
Na 0.5000 0.5000 0.0000  6 Se 2.98-3.01
Np 0.0000 0.5000 0.5000  6 Se 2.82-2.84
Mn 0.5000 0.0000 0.5000  6 Se 2.74-2.77
Se 0.2499 0.0000 0.7281  1 Mn 2.77, 2 Np 2.84, 3 Na 2.98-3.03
Se 0.2728 0.5000 0.2866  2 Mn 2.74, 1 Np 2.82, 1 Na 3.01
Se 0.7272 0.5000 0.7134  2 Mn 2.74, 1 Np 2.82, 1 Na 3.01
Se 0.7501 0.0000 0.2719  1 Mn 2.77, 2 Np 2.84, 3 Na 2.98-3.03

=====

No. 8
Material: Na3NpMn2Te6
Method: DFT, PBE
State: relaxed

Summary:
DFT total energy = -5.06 eV/atom
Fermi-level density of states = 7.18 states/eV/f.u.
Uncorrected formation energy = -0.551 eV per atom

a = 7.2725 Å, b = 7.2725 Å, c = 8.0181 Å
α = 98.74°, β = 98.74°, γ = 119.94°
Last column: nearest neighbours and their distance in Å.
Atoms (fractional coordinates):
Na 0.0000 0.0000 0.0000  6 Te 3.15-3.30
Na 0.3403 0.6597 0.0000  6 Te 3.20-3.31
Na 0.6597 0.3403 0.0000  6 Te 3.20-3.31
Np 0.5000 0.5000 0.5000  6 Te 3.06
Mn 0.1676 0.8324 0.5000  6 Te 2.87-2.89
Mn 0.8324 0.1676 0.5000  6 Te 2.87-2.89
Te 0.0744 0.4275 0.2824  2 Mn 2.87-2.89, 1 Np 3.06, 1 Na 3.20
Te 0.2187 0.2187 0.7158  2 Mn 2.88, 1 Np 3.06, 1 Na 3.15
Te 0.4275 0.0744 0.2824  2 Mn 2.87-2.89, 1 Np 3.06, 1 Na 3.20
Te 0.5725 0.9256 0.7176  2 Mn 2.87-2.89, 1 Np 3.06, 1 Na 3.20
Te 0.7813 0.7813 0.2842  2 Mn 2.88, 1 Np 3.06, 1 Na 3.15
Te 0.9256 0.5725 0.7176  2 Mn 2.87-2.89, 1 Np 3.06, 1 Na 3.20